Record 1
VASP calculation (PBE) on an optimized crystal structure of Pu3GaTc2.

Computed properties:
Total magnetization: 13.56 Bohr magnetons per cell
E_form: -0.27 eV per formula unit

Cell and atoms, written as CIF:
```
data_Pu3GaTc2
_chemical_formula_sum 'Pu3 Ga1 Tc2'
_cell_length_a 3.235
_cell_length_b 3.235
_cell_length_c 11.670
_cell_angle_alpha 90.00
_cell_angle_beta 90.00
_cell_angle_gamma 90.00
_symmetry_space_group_name_H-M 'P 4/m m m'
_symmetry_Int_Tables_number 123
_symmetry_space_group_name_Hall '-P 4 2'
loop_
_atom_site_label
_atom_site_type_symbol
_atom_site_fract_x
_atom_site_fract_y
_atom_site_fract_z
Pu1 Pu 0.000 0.000 0.000
Pu2 Pu 0.000 0.000 0.308
Ga1 Ga 0.500 0.500 0.500
Tc1 Tc 0.500 0.500 0.149
```

---

Record 2
VASP calculation (PBE) on an optimized crystal structure of Pu4Ga2Tc.

Computed properties:
Total magnetization: 43.40 Bohr magnetons per cell
E_form: 1.11 eV per formula unit

Cell and atoms, written as CIF:
```
data_Pu4Ga2Tc
_chemical_formula_sum 'Pu8 Ga4 Tc2'
_cell_length_a 4.302
_cell_length_b 16.606
_cell_length_c 5.082
_cell_angle_alpha 90.00
_cell_angle_beta 90.00
_cell_angle_gamma 90.00
_symmetry_space_group_name_H-M 'C m m m'
_symmetry_Int_Tables_number 65
_symmetry_space_group_name_Hall '-C 2 2'
loop_
_atom_site_label
_atom_site_type_symbol
_atom_site_fract_x
_atom_site_fract_y
_atom_site_fract_z
Pu1 Pu 0.000 0.089 0.000
Pu2 Pu 0.000 0.390 0.500
Ga1 Ga 0.000 0.285 0.000
Tc1 Tc 0.000 0.000 0.500
```

---

Record 3
VASP calculation (PBE) on an optimized crystal structure of Pu3Ga9Tc2.

Computed properties:
Total magnetization: 30.38 Bohr magnetons per cell
E_form: -4.48 eV per formula unit

Cell and atoms, written as CIF:
```
data_Pu3Ga9Tc2
_chemical_formula_sum 'Pu6 Ga18 Tc4'
_cell_length_a 4.371
_cell_length_b 9.553
_cell_length_c 12.282
_cell_angle_alpha 90.00
_cell_angle_beta 90.00
_cell_angle_gamma 90.00
_symmetry_space_group_name_H-M 'I m m m'
_symmetry_Int_Tables_number 71
_symmetry_space_group_name_Hall '-I 2 2'
loop_
_atom_site_label
_atom_site_type_symbol
_atom_site_fract_x
_atom_site_fract_y
_atom_site_fract_z
Pu1 Pu 0.000 0.000 0.000
Pu2 Pu 0.000 0.000 0.301
Ga1 Ga 0.000 0.281 0.131
Ga2 Ga 0.000 0.363 0.348
Ga3 Ga 0.000 0.500 0.000
Tc1 Tc 0.000 0.169 0.500
```